w) DFT (PBE) results for crystalline PmZn3Ir at its relaxed geometry.

space group	No. 38
spin magnetization	0.000	μB/atom

Cell and atoms, written as POSCAR:
```
PmZn3Ir
1.0
4.453 0.000 0.000
0.000 2.295 5.125
0.000 -2.295 5.125
Pm Zn Ir
1 3 1
Direct
0.000 0.000 0.000
0.000 0.704 0.704
0.500 0.206 0.206
0.500 0.466 0.466
0.000 0.325 0.325
```

---

x) DFT (PBE) results for crystalline PmZn3Ir at its relaxed geometry.

space group	No. 221
spin magnetization	0.000	μB/atom

Cell and atoms, written as POSCAR:
```
PmZn3Ir
1.0
4.766 0.000 0.000
0.000 4.766 0.000
0.000 0.000 4.766
Pm Zn Ir
1 3 1
Direct
0.000 0.000 0.000
0.000 0.500 0.500
0.500 0.000 0.500
0.500 0.500 0.000
0.500 0.500 0.500
```

---

w) is favored, and the nearest alternative lies 83 meV/atom above it.

---

w) DFT (PBE) results for crystalline PmZrIr at its relaxed geometry.

space group	No. 216
spin magnetization	0.000	μB/atom

Cell and atoms, written as POSCAR:
```
PmZrIr
1.0
0.000 3.358 3.358
3.358 0.000 3.358
3.358 3.358 0.000
Pm Zr Ir
1 1 1
Direct
0.000 0.000 0.000
0.500 0.500 0.500
0.750 0.750 0.750
```

---

x) DFT (PBE) results for crystalline PmZrIr at its relaxed geometry.

space group	No. 129
spin magnetization	0.000	μB/atom

Cell and atoms, written as POSCAR:
```
PmZrIr
1.0
4.730 0.000 0.000
0.000 4.730 0.000
0.000 0.000 6.752
Pm Zr Ir
2 2 2
Direct
0.250 0.750 0.000
0.750 0.250 0.000
0.250 0.750 0.500
0.750 0.250 0.500
0.250 0.250 0.285
0.750 0.750 0.715
```

---

x) is favored, and the nearest alternative lies 100 meV/atom above it.

---

w) DFT (PBE) results for crystalline PmZrIr at its relaxed geometry.

space group	No. 129
spin magnetization	0.000	μB/atom

Cell and atoms, written as POSCAR:
```
PmZrIr
1.0
4.655 0.000 0.000
0.000 4.655 0.000
0.000 0.000 6.754
Pm Zr Ir
2 2 2
Direct
0.250 0.250 0.130
0.750 0.750 0.870
0.250 0.750 0.500
0.750 0.250 0.500
0.250 0.250 0.706
0.750 0.750 0.294
```

---

x) DFT (PBE) results for crystalline PmZrIr at its relaxed geometry.

space group	No. 107
spin magnetization	0.286	μB/atom

Cell and atoms, written as POSCAR:
```
PmZrIr
1.0
-1.723 1.723 5.897
1.723 -1.723 5.897
1.723 1.723 -5.897
Pm Zr Ir
1 1 1
Direct
0.000 0.000 0.000
0.282 0.282 0.000
0.673 0.673 0.000
```

---

w) is favored, and the nearest alternative lies 241 meV/atom above it.

---

w) DFT (PBE) results for crystalline Pr3Ir2 at its relaxed geometry.

space group	No. 167
spin magnetization	0.000	μB/atom

Cell and atoms, written as POSCAR:
```
Pr3Ir2
1.0
3.611 2.085 6.513
-3.611 2.085 6.513
0.000 -4.170 6.513
Pr Ir
6 4
Direct
0.092 0.750 0.408
0.250 0.592 0.908
0.408 0.092 0.750
0.592 0.908 0.250
0.750 0.408 0.092
0.908 0.250 0.592
0.172 0.172 0.172
0.328 0.328 0.328
0.672 0.672 0.672
0.828 0.828 0.828
```

---

x) DFT (PBE) results for crystalline Pr3Ir2 at its relaxed geometry.

space group	No. 62
spin magnetization	0.000	μB/atom

Cell and atoms, written as POSCAR:
```
Pr3Ir2
1.0
7.924 0.000 0.000
0.000 4.215 0.000
0.000 0.000 16.150
Pr Ir
12 8
Direct
0.026 0.250 0.104
0.133 0.750 0.435
0.159 0.250 0.721
0.341 0.750 0.221
0.367 0.250 0.935
0.474 0.750 0.604
0.526 0.250 0.396
0.633 0.750 0.065
0.659 0.250 0.779
0.841 0.750 0.279
0.867 0.250 0.565
0.974 0.750 0.896
0.136 0.250 0.296
0.241 0.750 0.042
0.259 0.250 0.542
0.364 0.750 0.796
0.636 0.250 0.204
0.741 0.750 0.458
0.759 0.250 0.958
0.864 0.750 0.704
```

---

y) DFT (PBE) results for crystalline Pr3Ir2 at its relaxed geometry.

space group	No. 12
spin magnetization	0.000	μB/atom

Cell and atoms, written as POSCAR:
```
Pr3Ir2
1.0
9.012 -2.208 0.000
9.012 2.208 0.000
-1.349 0.000 10.785
Pr Ir
9 6
Direct
0.000 0.000 0.000
0.036 0.036 0.660
0.293 0.293 0.380
0.326 0.326 0.041
0.376 0.376 0.718
0.624 0.624 0.282
0.674 0.674 0.959
0.707 0.707 0.620
0.964 0.964 0.340
0.139 0.139 0.468
0.179 0.179 0.135
0.470 0.470 0.176
0.530 0.530 0.824
0.821 0.821 0.865
0.861 0.861 0.532
```

---

x) is favored, and the nearest alternative lies 23 meV/atom above it.

---

w) DFT (PBE) results for crystalline Pr3IrPt at its relaxed geometry.

space group	No. 14
spin magnetization	0.000	μB/atom

Cell and atoms, written as POSCAR:
```
Pr3IrPt
1.0
8.974 0.000 0.000
0.000 7.512 0.000
-2.416 0.000 8.292
Pr Ir Pt
12 4 4
Direct
0.048 0.002 0.217
0.048 0.498 0.717
0.288 0.651 0.109
0.288 0.849 0.609
0.352 0.187 0.010
0.352 0.313 0.510
0.648 0.687 0.490
0.648 0.813 0.990
0.712 0.151 0.391
0.712 0.349 0.891
0.952 0.502 0.283
0.952 0.998 0.783
0.055 0.186 0.518
0.055 0.314 0.018
0.945 0.686 0.982
0.945 0.814 0.482
0.405 0.537 0.819
0.405 0.963 0.319
0.595 0.037 0.681
0.595 0.463 0.181
```

---

x) DFT (PBE) results for crystalline Pr3IrPt at its relaxed geometry.

space group	No. 2
spin magnetization	0.000	μB/atom

Cell and atoms, written as POSCAR:
```
Pr3IrPt
1.0
5.984 0.000 0.000
-2.175 7.025 0.000
-2.170 -1.665 6.862
Pr Ir Pt
6 2 2
Direct
0.078 0.287 0.054
0.245 0.390 0.602
0.421 0.959 0.707
0.579 0.041 0.293
0.755 0.610 0.398
0.922 0.713 0.946
0.254 0.661 0.335
0.746 0.339 0.665
0.071 0.008 0.317
0.929 0.992 0.683
```

---

w) is favored, and the nearest alternative lies 54 meV/atom above it.

---

w) DFT (PBE) results for crystalline PrIr2Rh3 at its relaxed geometry.

space group	No. 166
spin magnetization	0.000	μB/atom

Cell and atoms, written as POSCAR:
```
PrIr2Rh3
1.0
2.835 1.637 7.151
-2.835 1.637 7.151
0.000 -3.274 7.151
Pr Ir Rh
2 4 6
Direct
0.216 0.216 0.216
0.784 0.784 0.784
0.000 0.000 0.000
0.000 0.500 0.500
0.500 0.000 0.500
0.500 0.500 0.000
0.241 0.726 0.726
0.274 0.274 0.759
0.274 0.759 0.274
0.726 0.241 0.726
0.726 0.726 0.241
0.759 0.274 0.274
```

---

x) DFT (PBE) results for crystalline PrIr2Rh3 at its relaxed geometry.

space group	No. 191
spin magnetization	0.000	μB/atom

Cell and atoms, written as POSCAR:
```
PrIr2Rh3
1.0
5.330 0.000 0.000
-2.665 4.616 0.000
0.000 0.000 4.340
Pr Ir Rh
1 2 3
Direct
0.000 0.000 0.000
0.333 0.667 0.000
0.667 0.333 0.000
0.000 0.500 0.500
0.500 0.000 0.500
0.500 0.500 0.500
```

---

x) is favored, and the nearest alternative lies 83 meV/atom above it.

---

w) DFT (PBE) results for crystalline Pr2IrRh3 at its relaxed geometry.

space group	No. 71
spin magnetization	0.130	μB/atom

Cell and atoms, written as POSCAR:
```
Pr2IrRh3
1.0
-2.429 2.690 4.747
2.429 -2.690 4.747
2.429 2.690 -4.747
Pr Ir Rh
2 1 3
Direct
0.186 0.186 0.000
0.814 0.814 0.000
0.500 0.500 0.000
0.000 0.500 0.500
0.364 0.864 0.500
0.636 0.136 0.500
```

---

x) DFT (PBE) results for crystalline Pr2IrRh3 at its relaxed geometry.

space group	No. 166
spin magnetization	0.000	μB/atom

Cell and atoms, written as POSCAR:
```
Pr2IrRh3
1.0
2.724 1.573 4.441
-2.724 1.573 4.441
0.000 -3.145 4.441
Pr Ir Rh
2 1 3
Direct
0.125 0.125 0.125
0.875 0.875 0.875
0.500 0.500 0.500
0.000 0.500 0.500
0.500 0.000 0.500
0.500 0.500 0.000
```

---

x) is favored, and the nearest alternative lies 505 meV/atom above it.

---

w) DFT (PBE) results for crystalline PrIrRh2 at its relaxed geometry.

space group	No. 65
spin magnetization	0.000	μB/atom

Cell and atoms, written as POSCAR:
```
PrIrRh2
1.0
2.712 -3.291 0.000
2.712 3.291 0.000
0.000 0.000 4.546
Pr Ir Rh
1 1 2
Direct
0.000 0.000 0.000
0.500 0.500 0.000
0.306 0.694 0.500
0.694 0.306 0.500
```

---

x) DFT (PBE) results for crystalline PrIrRh2 at its relaxed geometry.

space group	No. 166
spin magnetization	0.000	μB/atom

Cell and atoms, written as POSCAR:
```
PrIrRh2
1.0
2.685 1.550 8.872
-2.685 1.550 8.872
0.000 -3.100 8.872
Pr Ir Rh
3 3 6
Direct
0.000 0.000 0.000
0.139 0.139 0.139
0.861 0.861 0.861
0.332 0.332 0.332
0.500 0.500 0.500
0.668 0.668 0.668
0.084 0.579 0.579
0.421 0.421 0.916
0.421 0.916 0.421
0.579 0.084 0.579
0.579 0.579 0.084
0.916 0.421 0.421
```

---

x) is favored, and the nearest alternative lies 495 meV/atom above it.

---

w) DFT (PBE) results for crystalline Pr4Ir2Rh at its relaxed geometry.

space group	No. 5
spin magnetization	0.000	μB/atom

Cell and atoms, written as POSCAR:
```
Pr4Ir2Rh
1.0
6.815 -4.304 0.000
6.815 4.304 0.000
-6.536 0.000 6.810
Pr Ir Rh
8 4 2
Direct
0.044 0.044 0.293
0.071 0.492 0.231
0.073 0.491 0.833
0.508 0.929 0.769
0.509 0.927 0.167
0.535 0.376 0.705
0.624 0.465 0.295
0.956 0.956 0.707
0.291 0.210 0.001
0.789 0.211 0.000
0.790 0.210 0.500
0.790 0.709 0.999
0.080 0.501 0.541
0.499 0.920 0.459
```

---

x) DFT (PBE) results for crystalline Pr4Ir2Rh at its relaxed geometry.

space group	No. 122
spin magnetization	0.000	μB/atom

Cell and atoms, written as POSCAR:
```
Pr4Ir2Rh
1.0
-4.470 4.470 4.482
4.470 -4.470 4.482
4.470 4.470 -4.482
Pr Ir Rh
8 4 2
Direct
0.003 0.752 0.126
0.123 0.997 0.749
0.124 0.498 0.751
0.248 0.374 0.251
0.502 0.253 0.626
0.626 0.877 0.874
0.627 0.876 0.374
0.747 0.373 0.249
0.002 0.125 0.377
0.375 0.998 0.123
0.748 0.625 0.623
0.875 0.252 0.877
0.250 0.750 0.500
0.500 0.500 0.000
```

---

x) is favored, and the nearest alternative lies 96 meV/atom above it.

---

w) DFT (PBE) results for crystalline PrSmIrRh at its relaxed geometry.

space group	No. 216
spin magnetization	0.000	μB/atom

Cell and atoms, written as POSCAR:
```
PrSmIrRh
1.0
0.000 3.537 3.537
3.537 0.000 3.537
3.537 3.537 0.000
Pr Sm Ir Rh
1 1 1 1
Direct
0.000 0.000 0.000
0.500 0.500 0.500
0.250 0.250 0.250
0.750 0.750 0.750
```

---

x) DFT (PBE) results for crystalline PrSmIrRh at its relaxed geometry.

space group	No. 38
spin magnetization	0.000	μB/atom

Cell and atoms, written as POSCAR:
```
PrSmIrRh
1.0
4.241 0.000 0.000
0.000 1.999 5.474
0.000 -1.999 5.474
Pr Sm Ir Rh
1 1 1 1
Direct
0.000 0.000 0.000
0.500 0.287 0.287
0.000 0.726 0.726
0.500 0.565 0.565
```

---

x) is favored, and the nearest alternative lies 29 meV/atom above it.

---

w) DFT (PBE) results for crystalline Pr2IrS at its relaxed geometry.

space group	No. 160
spin magnetization	0.000	μB/atom

Cell and atoms, written as POSCAR:
```
Pr2IrS
1.0
2.036 1.176 7.336
-2.036 1.176 7.336
0.000 -2.351 7.336
Pr Ir S
2 1 1
Direct
0.000 0.000 0.000
0.179 0.179 0.179
0.590 0.590 0.590
0.757 0.757 0.757
```

---

x) DFT (PBE) results for crystalline Pr2IrS at its relaxed geometry.

space group	No. 166
spin magnetization	0.000	μB/atom

Cell and atoms, written as POSCAR:
```
Pr2IrS
1.0
2.045 1.180 7.168
-2.045 1.180 7.168
0.000 -2.361 7.168
Pr Ir S
2 1 1
Direct
0.246 0.246 0.246
0.754 0.754 0.754
0.500 0.500 0.500
0.000 0.000 0.000
```

---

x) is favored, and the nearest alternative lies 70 meV/atom above it.